This record from the Alexandria database describes crystalline LiCa2ScAu6 at its relaxed geometry. The functional is PBE.

DFT total energy = -38.2 eV for the cell shown

Cell lengths 5.1764, 8.1630, 5.4410 Å; angles 77.59, 78.80, 106.28 degrees
Element x y z (fractional)
1 Ca 0.6084 0.1771 0.6705
2 Ca 0.3916 0.8229 0.3295
3 Li 0.0000 0.0000 0.0000
4 Au 0.7908 0.5794 0.4135
5 Au 0.2092 0.4206 0.5865
6 Au 0.8445 0.2911 0.0938
7 Au 0.2251 0.1475 0.3156
8 Au 0.7749 0.8525 0.6844
9 Au 0.1555 0.7089 0.9062
10 Sc 0.5000 0.5000 0.0000

***

This record from the Alexandria database describes crystalline PuTlCu2O8 at its relaxed geometry. The functional is PBE.

Formation energy (no corrections) = -0.893 eV per atom

Cell lengths 5.8827, 5.8827, 5.8827 Å; angles 110.72, 110.72, 107.00 degrees
Element x y z (fractional)
1 O 0.9023 0.6921 0.2102
2 O 0.3079 0.5180 0.2102
3 O 0.9545 0.2815 0.3270
4 O 0.4820 0.6921 0.7898
5 O 0.3724 0.0455 0.3270
6 O 0.7185 0.0455 0.6730
7 O 0.3079 0.0977 0.7898
8 O 0.9545 0.6276 0.6730
9 Cu 0.5000 0.5000 0.0000
10 Cu 0.7500 0.2500 0.5000
11 Tl 0.0000 0.0000 0.0000
12 Pu 0.2500 0.7500 0.5000

***

This record from the Alexandria database describes crystalline Al2ZnIn at its relaxed geometry. The functional is PBE.

DFT total energy = -11.0 eV for the cell shown

Cell lengths 9.5097, 9.5097, 9.5097 Å; angles 18.53, 18.53, 18.53 degrees
Element x y z (fractional)
1 Al 0.0083 0.0083 0.0083
2 Al 0.4917 0.4917 0.4917
3 In 0.2500 0.2500 0.2500
4 Zn 0.7500 0.7500 0.7500

***

This record from the Alexandria database describes crystalline AcSmTh2 at its relaxed geometry. The functional is PBE.

Energy above the lowest structure with this stoichiometry = 0.023 eV/atom

Cell lengths 5.2740, 5.1561, 5.1561 Å; angles 90.00, 90.00, 90.00 degrees
Element x y z (fractional)
1 Th 0.0000 0.5000 0.0000
2 Th 0.0000 0.0000 0.5000
3 Sm 0.5000 0.0000 0.0000
4 Ac 0.5000 0.5000 0.5000

***

This record from the Alexandria database describes crystalline PuGeS at its relaxed geometry. The functional is PBE.

Formation energy (no corrections) = -1.074 eV per atom

Cell lengths 3.8388, 3.8388, 8.8063 Å; angles 102.59, 102.59, 90.00 degrees
Each line ends with the local moment (μB).
Element x y z (fractional)
1 S 0.1817 0.1817 0.3633  -0.16
2 S 0.8183 0.8183 0.6367  -0.16
3 Ge 0.5000 0.0000 0.0000  -0.08
4 Ge 0.0000 0.5000 0.0000  -0.08
5 Pu 0.6526 0.6526 0.3052  4.93
6 Pu 0.3474 0.3474 0.6948  4.93

***

This record from the Alexandria database describes crystalline KAlAg2 at its relaxed geometry. The functional is PBE.

DFT total energy = -9.8 eV for the cell shown

Cell lengths 6.4085, 6.4085, 6.4085 Å; angles 153.07, 129.91, 57.79 degrees
Element x y z (fractional)
1 Al 0.5388 0.5388 0.0000
2 Ag 0.9653 0.9653 0.0000
3 Ag 0.7401 0.2401 0.5000
4 K 0.2557 0.7557 0.5000

***

This record from the Alexandria database describes crystalline La8ZnIn2 at its relaxed geometry. The functional is PBE.

DFT total energy = -48.8 eV for the cell shown

Cell lengths 5.4752, 7.0050, 10.1365 Å; angles 105.50, 105.67, 90.00 degrees
Element x y z (fractional)
1 La 0.2091 0.2797 0.4182
2 La 0.6554 0.9717 0.3108
3 La 0.0080 0.7726 0.0160
4 La 0.5912 0.4559 0.1825
5 La 0.4088 0.5441 0.8175
6 La 0.7909 0.7203 0.5818
7 La 0.3446 0.0283 0.6892
8 La 0.9920 0.2274 0.9840
9 Zn 0.5000 0.0000 0.0000
10 In 0.8237 0.2778 0.6475
11 In 0.1763 0.7222 0.3525

***

This record from the Alexandria database describes crystalline Nd2Ga5Ni2 at its relaxed geometry. The functional is PBE.

DFT total energy = -39.6 eV for the cell shown

Cell lengths 4.5626, 4.5626, 8.9629 Å; angles 90.00, 90.00, 90.00 degrees
Element x y z (fractional)
1 Ga 0.5000 0.0000 0.7643
2 Ga 0.5000 0.5000 0.5000
3 Ga 0.0000 0.5000 0.2357
4 Ga 0.5000 0.0000 0.2357
5 Ga 0.0000 0.5000 0.7643
6 Nd 0.0000 0.0000 0.5000
7 Nd 0.0000 0.0000 0.0000
8 Ni 0.5000 0.5000 0.2460
9 Ni 0.5000 0.5000 0.7540